The following is a PBE-GGA calculation of an optimized crystal structure of Pr2TlIn, from OQMD via LeMat-Bulk.

Spin magnetization in μB/f.u.: 0.0
SG: P4/mmm (123)
V in Å³/f.u.: 119.7
VASP energy in eV/atom: -4.1089

Cell and atoms, written as POSCAR:
```
Pr2TlIn
1.0
3.901 0.000 0.000
0.000 3.901 0.000
0.000 0.000 7.863
Pr Tl In
2 1 1
direct
0.000 0.000 0.248
0.000 0.000 0.752
0.500 0.500 0.500
0.500 0.500 0.000
```

The following is a PBE-GGA calculation of an optimized crystal structure of TcAuO3, from OQMD via LeMat-Bulk.

Spin magnetization in μB/f.u.: 0.0
SG: P4/mmm (123)
V in Å³/f.u.: 58.3
VASP energy in eV/atom: -6.2492

Cell and atoms, written as POSCAR:
```
TcAuO3
1.0
3.873 0.000 0.000
0.000 3.873 0.000
0.000 0.000 3.890
Tc Au O
1 1 3
direct
0.000 0.000 0.000
0.500 0.500 0.500
0.000 0.000 0.500
0.000 0.500 0.000
0.500 0.000 0.000
```

The following is a PBE-GGA calculation of an optimized crystal structure of LaDyOs, from OQMD via LeMat-Bulk.

DFT formation energy in eV per atom: 0.78
Spin magnetization in μB/f.u.: 0.0
SG: F-43m (216)
V in Å³/f.u.: 76.1
VASP energy in eV/atom: -6.1397

Cell and atoms, written as POSCAR:
```
LaDyOs
1.0
0.000 3.364 3.364
3.364 0.000 3.364
3.364 3.364 0.000
La Dy Os
1 1 1
direct
0.000 0.000 0.000
0.750 0.750 0.750
0.250 0.250 0.250
```

The following is a PBE-GGA calculation of an optimized crystal structure of BeInRe, from OQMD via LeMat-Bulk.

Spin magnetization in μB/f.u.: 1.5
SG: F-43m (216)
E above lowest polymorph in eV per formula unit: 0.00
V in Å³/f.u.: 56.7
VASP energy in eV/atom: -5.1437

Cell and atoms, written as POSCAR:
```
BeInRe
1.0
0.000 3.049 3.049
3.049 0.000 3.049
3.049 3.049 0.000
Be In Re
1 1 1
direct
0.000 0.000 0.000
0.500 0.500 0.500
0.250 0.250 0.250
```

The following is a PBE-GGA calculation of an optimized crystal structure of TbPr2NiSn3Pt2, from OQMD via LeMat-Bulk.

Spin magnetization in μB/f.u.: 0.0
SG: Amm2 (38)
V in Å³/f.u.: 203.1
VASP energy in eV/atom: -5.8123

Cell and atoms, written as POSCAR:
```
TbPr2NiSn3Pt2
1.0
4.031 0.000 0.000
0.000 6.601 3.816
0.000 -6.601 3.816
Tb Pr Ni Sn Pt
1 2 1 3 2
direct
0.000 0.000 0.000
0.000 0.406 0.815
0.000 0.815 0.406
0.000 0.401 0.401
0.500 0.161 0.403
0.500 0.403 0.161
0.500 0.651 0.651
0.500 0.070 0.747
0.500 0.747 0.070
```

The following is a PBE-GGA calculation of an optimized crystal structure of Pr2ScS3, from OQMD via LeMat-Bulk.

Spin magnetization in μB/f.u.: 0.0
SG: P-3m1 (164)
V in Å³/f.u.: 132.3
VASP energy in eV/atom: -6.6559

Cell and atoms, written as POSCAR:
```
Pr2ScS3
1.0
3.929 0.000 0.000
-1.965 3.403 0.000
0.000 0.000 9.894
Pr Sc S
2 1 3
direct
0.333 0.667 0.177
0.667 0.333 0.823
0.000 0.000 0.500
0.000 0.000 0.000
0.333 0.667 0.640
0.667 0.333 0.360
```

The following is a PBE-GGA calculation of an optimized crystal structure of HfIn2Mo, from OQMD via LeMat-Bulk.

Spin magnetization in μB/f.u.: 0.0
SG: F-43m (216)
V in Å³/f.u.: 80.2
VASP energy in eV/atom: -6.2155

Cell and atoms, written as POSCAR:
```
HfIn2Mo
1.0
0.000 3.422 3.422
3.422 0.000 3.422
3.422 3.422 0.000
Hf In Mo
1 2 1
direct
0.000 0.000 0.000
0.250 0.250 0.250
0.500 0.500 0.500
0.750 0.750 0.750
```

The following is a PBE-GGA calculation of an optimized crystal structure of LuScFe2, from OQMD via LeMat-Bulk.

DFT formation energy in eV per atom: 0.23
Spin magnetization in μB/f.u.: 4.1
SG: F-43m (216)
V in Å³/f.u.: 66.7
VASP energy in eV/atom: -6.6370

Cell and atoms, written as POSCAR:
```
LuScFe2
1.0
0.000 3.219 3.219
3.219 0.000 3.219
3.219 3.219 0.000
Lu Sc Fe
1 1 2
direct
0.000 0.000 0.000
0.750 0.750 0.750
0.250 0.250 0.250
0.500 0.500 0.500
```